#w
Zn3GaCu | PBE-GGA | optimized geometry

Unit cell a=4.636 b=4.636 c=4.636 alpha=90.00 beta=90.00 gamma=90.00
Space group Pm-3m (No. 221)
Inequivalent atoms, fractional coordinates:
Zn 0.000 0.000 0.500
Ga 0.500 0.500 0.500
Cu 0.000 0.000 0.000

---

#x
Zn3GaCu | PBE-GGA | optimized geometry

Unit cell a=4.452 b=5.704 c=6.310 alpha=90.00 beta=110.62 gamma=90.00
Space group P2_1/m (No. 11)
Inequivalent atoms, fractional coordinates:
Zn 0.117 0.250 0.236
Zn 0.318 0.504 0.635
Ga 0.109 0.750 0.217
Cu 0.499 0.250 0.000

---

#y
Zn3GaCu | PBE-GGA | optimized geometry

Unit cell a=6.3529 b=6.3529 c=4.8593 alpha=90.00 beta=90.00 gamma=120.00
Space group P6_3/mmc (No. 194)
Inequivalent atoms, fractional coordinates:
Zn 0.1955 0.3911 0.2500
Ga 0.3333 0.6667 0.7500
Cu 0.0000 0.0000 0.0000

---

#z
Zn3GaCu | PBE-GGA | optimized geometry

Unit cell a=4.726 b=4.726 c=4.726 alpha=90.00 beta=90.00 gamma=90.00
Space group Pm-3m (No. 221)
Inequivalent atoms, fractional coordinates:
Zn 0.000 0.000 0.500
Ga 0.000 0.000 0.000
Cu 0.500 0.500 0.500

---

How do the energies compare? Relative to the most stable structure, in kJ/mol of atoms: #w 28.3; #x 0.0; #y 13.2; #z 60.9.

---

#w
Zn2GaCu5 | PBE-GGA | optimized geometry

Unit cell a=5.529 b=5.529 c=4.371 alpha=90.00 beta=90.00 gamma=90.00
Space group P4/mmm (No. 123)
Inequivalent atoms, fractional coordinates:
Zn 0.000 0.500 0.000
Ga 0.000 0.000 0.500
Cu 0.000 0.000 0.000
Cu 0.290 0.290 0.500

---

#x
Zn2GaCu5 | PBE-GGA | optimized geometry

Unit cell a=3.752 b=3.752 c=14.585 alpha=90.00 beta=90.00 gamma=90.00
Space group I4/mmm (No. 139)
Inequivalent atoms, fractional coordinates:
Zn 0.000 0.000 0.248
Ga 0.000 0.000 0.500
Cu 0.000 0.000 0.000
Cu 0.000 0.500 0.124

---

How do the energies compare? Relative to the most stable structure, in kJ/mol of atoms: #w 53.3; #x 0.0.

---

#w
ZnGaCu3 | PBE-GGA | optimized geometry

Unit cell a=4.919 b=12.417 c=4.679 alpha=90.00 beta=90.00 gamma=90.00
Space group Cmcm (No. 63)
Inequivalent atoms, fractional coordinates:
Zn 0.000 0.059 0.250
Ga 0.000 0.320 0.750
Cu 0.000 0.500 0.000
Cu 0.244 0.147 0.750

---

#x
ZnGaCu3 | PBE-GGA | optimized geometry

Unit cell a=4.176 b=5.303 c=6.410 alpha=90.00 beta=108.75 gamma=90.00
Space group P2_1/m (No. 11)
Inequivalent atoms, fractional coordinates:
Zn 0.122 0.250 0.244
Ga 0.121 0.750 0.242
Cu 0.316 0.501 0.631
Cu 0.499 0.250 0.998

---

How do the energies compare? Relative to the most stable structure, in kJ/mol of atoms: #w 8.0; #x 0.0.

---

#w
Zn4GaCu | PBE-GGA | optimized geometry

Unit cell a=7.183 b=7.183 c=7.183 alpha=90.00 beta=90.00 gamma=90.00
Space group F-43m (No. 216)
Inequivalent atoms, fractional coordinates:
Zn 0.124 0.124 0.124
Ga 0.000 0.000 0.500
Cu 0.250 0.250 0.750

---

#x
Zn4GaCu | PBE-GGA | optimized geometry

Unit cell a=7.465 b=4.584 c=5.565 alpha=90.00 beta=106.39 gamma=90.00
Space group P2/c (No. 13)
Inequivalent atoms, fractional coordinates:
Zn 0.147 0.088 0.443
Zn 0.311 0.442 0.147
Ga 0.500 0.000 0.000
Cu 0.000 0.407 0.750

---

#y
Zn4GaCu | PBE-GGA | optimized geometry

Unit cell a=8.842 b=9.004 c=9.527 alpha=90.00 beta=90.00 gamma=90.00
Space group Fmmm (No. 69)
Inequivalent atoms, fractional coordinates:
Zn 0.000 0.147 0.141
Zn 0.151 0.000 0.360
Ga 0.250 0.250 0.000
Cu 0.250 0.250 0.250

---

How do the energies compare? Relative to the most stable structure, in kJ/mol of atoms: #w 10.5; #x 1.1; #y 0.0.

---

#w
Zn4GaCu2 | PBE-GGA | optimized geometry

Unit cell a=5.217 b=16.108 c=5.214 alpha=90.00 beta=106.41 gamma=90.00
Space group Cc (No. 9)
Inequivalent atoms, fractional coordinates:
Zn 0.000 0.007 0.000
Zn 0.057 0.472 0.088
Zn 0.461 0.264 0.515
Zn 0.473 0.261 0.029
Ga 0.276 0.118 0.825
Cu 0.212 0.380 0.727
Cu 0.230 0.129 0.315

---

#x
Zn4GaCu2 | PBE-GGA | optimized geometry

Unit cell a=5.268 b=6.454 c=6.507 alpha=97.36 beta=100.58 gamma=102.02
Space group P1 (No. 1)
Inequivalent atoms, fractional coordinates:
Zn 0.000 0.000 0.000
Zn 0.032 0.350 0.778
Zn 0.201 0.684 0.112
Zn 0.237 0.468 0.460
Zn 0.370 0.074 0.376
Zn 0.527 0.319 0.772
Zn 0.707 0.692 0.148
Zn 0.866 0.087 0.390
Ga 0.121 0.834 0.636
Ga 0.621 0.827 0.644
Cu 0.370 0.344 0.114
Cu 0.502 0.988 0.998
Cu 0.736 0.468 0.476
Cu 0.863 0.348 0.119

---

How do the energies compare? Relative to the most stable structure, in kJ/mol of atoms: #w 5.3; #x 0.0.

---

#w
ZnGaCu | PBE-GGA | optimized geometry

Unit cell a=5.804 b=5.804 c=5.804 alpha=90.00 beta=90.00 gamma=90.00
Space group F-43m (No. 216)
Inequivalent atoms, fractional coordinates:
Zn 0.000 0.000 0.000
Ga 0.000 0.000 0.500
Cu 0.250 0.250 0.750

---

#x
ZnGaCu | PBE-GGA | optimized geometry

Unit cell a=8.013 b=3.782 c=6.176 alpha=90.00 beta=90.00 gamma=90.00
Space group Pnma (No. 62)
Inequivalent atoms, fractional coordinates:
Zn 0.115 0.250 0.199
Ga 0.133 0.250 0.777
Cu 0.108 0.750 0.498

---

#y
ZnGaCu | PBE-GGA | optimized geometry

Unit cell a=4.4618 b=4.4618 c=2.6091 alpha=90.00 beta=90.00 gamma=120.00
Space group P3m1 (No. 156)
Inequivalent atoms, fractional coordinates:
Zn 0.0000 0.0000 0.0000
Ga 0.3333 0.6667 0.3946
Cu 0.6667 0.3333 0.5726

---

How do the energies compare? Relative to the most stable structure, in kJ/mol of atoms: #w 4.5; #x 0.0; #y 12.4.